Record 1
This record from the Alexandria database describes NiPt4S8 after structural relaxation. The functional is GGA-PBE.

Unit cell a=6.969 b=6.969 c=6.969 alpha=61.59 beta=61.59 gamma=61.59
Each line ends with the local moment (μB).
Sites, in units of the cell vectors:
Ni 0.500 0.500 0.500  0.36
Pt 0.500 0.000 0.500  0.00
Pt 0.000 0.500 0.500  0.00
Pt 0.500 0.500 0.000  0.00
Pt 0.000 0.000 0.000  -0.05
S 0.253 0.725 0.253  0.01
S 0.747 0.747 0.275  0.01
S 0.747 0.275 0.747  0.01
S 0.275 0.747 0.747  0.01
S 0.740 0.740 0.740  0.00
S 0.260 0.260 0.260  0.00
S 0.725 0.253 0.253  0.01
S 0.253 0.253 0.725  0.01

## Properties
- Energy relative to the elements, uncorrected: -0.26 eV per atom
- Calculated volume: 19.067 Å³/atom
- Density of states at the Fermi level: 0.2295 states/eV/atom
- Total moment: 0.35 μB/cell



Record 2
This record from the Alexandria database describes NaInAs2O8 after structural relaxation. The functional is GGA-PBE.

Unit cell a=5.438 b=5.438 c=7.216 alpha=90.00 beta=90.00 gamma=120.00
Each line ends with the local moment (μB).
Sites, in units of the cell vectors:
Na 0.000 0.000 0.500  0.00
In 0.000 0.000 0.000  0.00
As 0.667 0.333 0.246  -0.03
As 0.333 0.667 0.754  -0.03
O 0.066 0.733 0.810  0.10
O 0.267 0.333 0.810  0.10
O 0.667 0.934 0.810  0.10
O 0.934 0.267 0.190  0.10
O 0.733 0.667 0.190  0.10
O 0.333 0.066 0.190  0.10
O 0.667 0.333 0.488  0.56
O 0.333 0.667 0.512  0.56

## Properties
- Energy relative to the elements, uncorrected: -1.06 eV per atom
- Calculated volume: 15.402 Å³/atom
- Density of states at the Fermi level: 0.6416 states/eV/atom
- Total moment: 2.05 μB/cell



- Which of these has the lowest density of states at the Fermi level?
  NiPt4S8